Record 1
## PuZrInAu (PBE-GGA)

Data for a geometry-optimized PuZrInAu structure.

The magnetization is 5.57 μB per cell. As for the density of states at the Fermi level: 2.035 states/eV per atom. For the calculated density, the calculation gives 11.9 Mg/m³. The value obtained for the energy above the lowest structure with this stoichiometry is 0 kJ/mol of formula units. The value obtained for the energy of formation is -0.346 eV/atom. As for the final energy: -7.5702 eV/atom.

The structure belongs to space group P4mm (No. 99); the cell edges are 3.2043, 3.2043 and 8.7789 Å and the angles 90.00°, 90.00° and 90.00°. Symmetry generates all atoms from Pu at (0.0000, 0.0000, 0.0000), Zr at (0.0000, 0.0000, 0.4715), In at (0.5000, 0.5000, 0.7195) and Au at (0.5000, 0.5000, 0.2544).



Record 2
## PuZrInAu (PBE-GGA)

Data for a geometry-optimized PuZrInAu structure.

The magnetization is 26.85 μB per cell. As for the density of states at the Fermi level: 2.384 states/eV per atom. For the calculated density, the calculation gives 11.4 Mg/m³. The value obtained for the energy above the lowest structure with this stoichiometry is 63 kJ/mol of formula units. The value obtained for the energy of formation is -0.182 eV/atom. As for the final energy: -7.4059 eV/atom.

The structure belongs to space group F-43m (No. 216); the cell edges are 7.2244, 7.2244 and 7.2244 Å and the angles 90.00°, 90.00° and 90.00°. Symmetry generates all atoms from Pu at (0.0000, 0.0000, 0.0000), Zr at (0.0000, 0.0000, 0.5000), In at (0.2500, 0.2500, 0.2500) and Au at (0.2500, 0.2500, 0.7500).



Record 3
## Rb3In5Au6 (PBE-GGA)

Data for a geometry-optimized Rb3In5Au6 structure.

The magnetization is 0.00 μB per cell. As for the density of states at the Fermi level: 0.446 states/eV per atom. For the calculated density, the calculation gives 8.1 Mg/m³. The value obtained for the energy of formation is -0.226 eV/atom. As for the final energy: -2.8156 eV/atom.

The structure belongs to space group Pmmn (No. 59, origin choice 2); the cell edges are 4.7445, 14.1779 and 12.3207 Å and the angles 90.00°, 90.00° and 90.00°. Symmetry generates all atoms from Rb at (0.2500, 0.1061, 0.2477), Rb at (0.2500, 0.7500, 0.2366), In at (0.2500, 0.0743, 0.6468), In at (0.2500, 0.6107, 0.9927), In at (0.2500, 0.7500, 0.5673), Au at (0.2500, 0.0654, 0.8767), Au at (0.2500, 0.2500, 0.5463), Au at (0.2500, 0.2500, 0.9918) and Au at (0.2500, 0.5621, 0.4768).



Record 4
## RbIn9Au2 (PBE-GGA)

Data for a geometry-optimized RbIn9Au2 structure.

The magnetization is 0.00 μB per cell. As for the density of states at the Fermi level: 0.353 states/eV per atom. For the calculated density, the calculation gives 7.7 Mg/m³. The value obtained for the energy above the lowest structure with this stoichiometry is 0 kJ/mol of formula units. The value obtained for the energy of formation is -0.108 eV/atom. As for the final energy: -2.7885 eV/atom.

The structure belongs to space group I4_1/amd (No. 141, origin choice 2); the cell edges are 12.3852, 12.3852 and 8.5206 Å and the angles 90.00°, 90.00° and 90.00°. Symmetry generates all atoms from Rb at (0.0000, 0.2500, 0.3750), In at (0.0000, 0.2500, 0.8750), In at (0.1235, 0.0563, 0.6757) and Au at (0.0000, 0.0000, 0.0000).